Density functional theory data (PBE) for a relaxed K2Pu3BeO12 crystal.

- total energy (eV per atom) = -8.295
- M_tot (Bohr magnetons per cell) = 12.00

abc: 7.7527 7.7527 16.5598
angles: 90.00 90.00 120.00
Space group R-3m (No. 166, hexagonal axes)
Symmetry-distinct sites (fractional):
K 0.0000 0.0000 0.1285
Pu 0.0000 0.5000 0.0000
Be 0.0000 0.0000 0.5000
O 0.0714 0.5357 0.3679
O 0.1048 0.5524 0.1047

Density functional theory data (PBE) for a relaxed DyScZnHg crystal.

- total energy (eV per atom) = -3.509
- M_tot (Bohr magnetons per cell) = 1.17
- calculated formation energy (eV per atom) = -0.381

abc: 7.111 7.111 7.111
angles: 90.00 90.00 90.00
Space group F-43m (No. 216)
Symmetry-distinct sites (fractional):
Dy 0.000 0.000 0.000
Sc 0.000 0.000 0.500
Zn 0.250 0.250 0.250
Hg 0.250 0.250 0.750

Density functional theory data (PBE) for a relaxed YTmRh crystal.

- total energy (eV per atom) = -6.505
- M_tot (Bohr magnetons per cell) = 0.00
- energy relative to the lowest polymorph listed for this composition (eV per formula unit) = 0.587
- calculated formation energy (eV per atom) = -0.409

abc: 4.5758 4.5758 3.9876
angles: 90.00 90.00 120.00
Space group P3m1 (No. 156)
Symmetry-distinct sites (fractional):
Y 0.0000 0.0000 0.0000
Tm 0.6667 0.3333 0.4734
Rh 0.3333 0.6667 0.7090

Density functional theory data (PBE) for a relaxed CuRu2Cl crystal.

- total energy (eV per atom) = -5.113
- M_tot (Bohr magnetons per cell) = 0.00
- energy relative to the lowest polymorph listed for this composition (eV per formula unit) = 3.064

abc: 6.827 6.827 5.174
angles: 90.00 90.00 90.00
Space group I-42d (No. 122)
Symmetry-distinct sites (fractional):
Cu 0.000 0.000 0.000
Ru 0.196 0.250 0.625
Cl 0.000 0.000 0.500

> Which value of total energy does entry 1 give?

-8.295 eV per atom

> The highest M_tot belongs to which entry?

K2Pu3BeO12

> Which value of M_tot does entry 1 give?

12.00 Bohr magnetons per cell

Repeat the first record exactly.
Density functional theory data (PBE) for a relaxed K2Pu3BeO12 crystal.

- total energy (eV per atom) = -8.295
- M_tot (Bohr magnetons per cell) = 12.00

abc: 7.7527 7.7527 16.5598
angles: 90.00 90.00 120.00
Space group R-3m (No. 166, hexagonal axes)
Symmetry-distinct sites (fractional):
K 0.0000 0.0000 0.1285
Pu 0.0000 0.5000 0.0000
Be 0.0000 0.0000 0.5000
O 0.0714 0.5357 0.3679
O 0.1048 0.5524 0.1047